[1]
DFT (GGA-PBE) results for a geometry-optimized Th2ScPd7 structure.

Computed properties:
M_tot, μB/f.u.: 0.00
Final energy, eV per atom: -6.440
N(E_F), states/eV per cell: 7.07
Formation energy from the elements, meV per atom: -687

Lattice parameters (Å, degrees): 9.6020 9.0563 5.1049 80.11 68.30 31.58
Last column: nearest neighbours and their distance in Å.
Atoms (fractional coordinates):
Th 0.1659 0.1659 0.8341  9 Pd 2.86-2.94
Th 0.8341 0.8341 0.1659  9 Pd 2.86-2.94
Sc 0.5000 0.5000 0.5000  10 Pd 2.82-2.91
Pd 0.0000 0.0000 0.0000  2 Sc 2.82, 2 Th 2.86, 8 Pd 2.91
Pd 0.0813 0.0813 0.4187  6 Pd 2.80-2.91, 2 Sc 2.91, 2 Th 2.94
Pd 0.2500 0.2500 0.2500  4 Pd 2.82-2.90, 4 Th 2.93
Pd 0.4187 0.4187 0.0813  6 Pd 2.80-2.91, 2 Sc 2.91, 2 Th 2.94
Pd 0.5813 0.5813 0.9187  6 Pd 2.80-2.91, 2 Sc 2.91, 2 Th 2.94
Pd 0.7500 0.7500 0.7500  4 Pd 2.82-2.90, 4 Th 2.93
Pd 0.9187 0.9187 0.5813  6 Pd 2.80-2.91, 2 Sc 2.91, 2 Th 2.94



[2]
DFT (GGA-PBE) results for a geometry-optimized ThScPd structure.

Computed properties:
M_tot, μB/f.u.: 0.00
Final energy, eV per atom: -6.802
N(E_F), states/eV per cell: 9.92
Formation energy from the elements, meV per atom: -487
Energy relative to the lowest polymorph listed for this composition, eV per atom: 0.027

Lattice parameters (Å, degrees): 6.9853 5.8319 5.6827 74.68 53.63 51.69
Last column: nearest neighbours and their distance in Å.
Atoms (fractional coordinates):
Th 0.1668 0.8332 0.1668  4 Pd 3.03, 3 Th 3.24-3.37
Th 0.8332 0.1668 0.8332  4 Pd 3.03, 3 Th 3.24-3.37
Sc 0.3340 0.3340 0.6660  4 Pd 2.96
Sc 0.6660 0.6660 0.3340  4 Pd 2.96
Pd 0.2500 0.2500 0.2500  2 Pd 2.96, 4 Sc 2.96, 4 Th 3.03
Pd 0.7500 0.7500 0.7500  2 Pd 2.96, 4 Sc 2.96, 4 Th 3.03



[3]
DFT (GGA-PBE) results for a geometry-optimized ThSc2Pd structure.

Computed properties:
M_tot, μB/f.u.: 0.00
Final energy, eV per atom: -6.556
N(E_F), states/eV per cell: 4.90
Formation energy from the elements, meV per atom: -237
Energy relative to the lowest polymorph listed for this composition, eV per atom: 0.193

Lattice parameters (Å, degrees): 9.6321 9.6321 9.6321 20.48 20.48 20.48
Last column: nearest neighbours and their distance in Å.
Atoms (fractional coordinates):
Th 0.0000 0.0000 0.0000  6 Sc 3.42, 6 Th 3.43
Sc 0.2345 0.2345 0.2345  3 Pd 2.76
Sc 0.7655 0.7655 0.7655  3 Pd 2.76
Pd 0.5000 0.5000 0.5000  6 Sc 2.76



[4]
DFT (GGA-PBE) results for a geometry-optimized Th4ScPd15 structure.

Computed properties:
M_tot, μB/f.u.: 0.00
Final energy, eV per atom: -6.618
N(E_F), states/eV per cell: 3.99
Formation energy from the elements, meV per atom: -923

Lattice parameters (Å, degrees): 4.1831 4.1831 20.8463 90.00 90.00 90.00
Last column: nearest neighbours and their distance in Å.
Atoms (fractional coordinates):
Th 0.0000 0.0000 0.1027  12 Pd 2.96-2.99
Th 0.0000 0.0000 0.3085  12 Pd 2.92-3.03
Th 0.0000 0.0000 0.6915  12 Pd 2.92-3.03
Th 0.0000 0.0000 0.8973  12 Pd 2.96-2.99
Sc 0.0000 0.0000 0.5000  12 Pd 2.86-2.96
Pd 0.0000 0.5000 0.0000  8 Pd 2.96-2.97, 4 Th 2.99
Pd 0.0000 0.5000 0.2034  8 Pd 2.96-2.98, 4 Th 2.96-3.03
Pd 0.0000 0.5000 0.4064  8 Pd 2.86-2.99, 2 Sc 2.86, 2 Th 2.92
Pd 0.0000 0.5000 0.5936  8 Pd 2.86-2.99, 2 Sc 2.86, 2 Th 2.92
Pd 0.0000 0.5000 0.7966  8 Pd 2.96-2.98, 4 Th 2.96-3.03
Pd 0.5000 0.0000 0.0000  8 Pd 2.96-2.97, 4 Th 2.99
Pd 0.5000 0.0000 0.2034  8 Pd 2.96-2.98, 4 Th 2.96-3.03
Pd 0.5000 0.0000 0.4064  8 Pd 2.86-2.99, 2 Sc 2.86, 2 Th 2.92
Pd 0.5000 0.0000 0.5936  8 Pd 2.86-2.99, 2 Sc 2.86, 2 Th 2.92
Pd 0.5000 0.0000 0.7966  8 Pd 2.96-2.98, 4 Th 2.96-3.03
Pd 0.5000 0.5000 0.1013  4 Th 2.96, 8 Pd 2.97-2.98
Pd 0.5000 0.5000 0.3040  4 Th 2.96, 8 Pd 2.96-2.99
Pd 0.5000 0.5000 0.5000  8 Pd 2.86, 4 Sc 2.96
Pd 0.5000 0.5000 0.6960  4 Th 2.96, 8 Pd 2.96-2.99
Pd 0.5000 0.5000 0.8987  4 Th 2.96, 8 Pd 2.97-2.98



[5]
DFT (GGA-PBE) results for a geometry-optimized ThScPd2 structure.

Computed properties:
M_tot, μB/f.u.: 0.00
Final energy, eV per atom: -6.797
N(E_F), states/eV per cell: 2.28
Formation energy from the elements, meV per atom: -763
Energy relative to the lowest polymorph listed for this composition, eV per atom: 0.040

Lattice parameters (Å, degrees): 3.3385 3.3385 7.4394 90.00 90.00 90.00
Last column: nearest neighbours and their distance in Å.
Atoms (fractional coordinates):
Th 0.0000 0.0000 0.0000  8 Pd 3.20, 4 Th 3.34
Sc 0.0000 0.0000 0.5000  8 Pd 2.83
Pd 0.5000 0.5000 0.2895  4 Sc 2.83, 1 Pd 3.13
Pd 0.5000 0.5000 0.7105  4 Sc 2.83, 1 Pd 3.13



[6]
DFT (GGA-PBE) results for a geometry-optimized ThSc4Pd5 structure.

Computed properties:
M_tot, μB/f.u.: 0.00
Final energy, eV per atom: -6.713
N(E_F), states/eV per cell: 7.09
Formation energy from the elements, meV per atom: -842

Lattice parameters (Å, degrees): 3.3179 3.3179 17.4238 90.00 90.00 90.00
Last column: nearest neighbours and their distance in Å.
Atoms (fractional coordinates):
Th 0.0000 0.0000 0.0000  8 Pd 3.19, 4 Th 3.32
Sc 0.0000 0.0000 0.2134  8 Pd 2.82-2.88
Sc 0.0000 0.0000 0.4048  8 Pd 2.87-2.88
Sc 0.0000 0.0000 0.5952  8 Pd 2.87-2.88
Sc 0.0000 0.0000 0.7866  8 Pd 2.82-2.88
Pd 0.5000 0.5000 0.1239  4 Sc 2.82
Pd 0.5000 0.5000 0.3094  8 Sc 2.88
Pd 0.5000 0.5000 0.5000  8 Sc 2.87
Pd 0.5000 0.5000 0.6906  8 Sc 2.88
Pd 0.5000 0.5000 0.8761  4 Sc 2.82



[7]
DFT (GGA-PBE) results for a geometry-optimized ThScPd3 structure.

Computed properties:
M_tot, μB/f.u.: 0.00
Final energy, eV per atom: -6.581
N(E_F), states/eV per cell: 13.81
Formation energy from the elements, meV per atom: -715
Energy relative to the lowest polymorph listed for this composition, eV per atom: 0.078

Lattice parameters (Å, degrees): 7.8705 7.7121 7.0711 90.00 90.00 90.00
Last column: nearest neighbours and their distance in Å.
Atoms (fractional coordinates):
Th 0.0923 0.2500 0.0095  8 Pd 2.85-3.06
Th 0.4077 0.7500 0.5095  8 Pd 2.85-3.06
Th 0.5923 0.2500 0.4905  8 Pd 2.85-3.06
Th 0.9077 0.7500 0.9905  8 Pd 2.85-3.06
Sc 0.0000 0.0000 0.5000  6 Pd 2.74-2.98
Sc 0.0000 0.5000 0.5000  6 Pd 2.74-2.98
Sc 0.5000 0.0000 0.0000  6 Pd 2.74-2.98
Sc 0.5000 0.5000 0.0000  6 Pd 2.74-2.98
Pd 0.2090 0.5715 0.7996  3 Pd 2.74-2.82, 2 Sc 2.74-2.75, 3 Th 2.92-3.06
Pd 0.2090 0.9285 0.7996  3 Pd 2.74-2.82, 2 Sc 2.74-2.75, 3 Th 2.92-3.06
Pd 0.2427 0.7500 0.1452  4 Pd 2.74-2.82, 2 Th 2.85-2.88, 2 Sc 2.98
Pd 0.2573 0.2500 0.6452  4 Pd 2.74-2.82, 2 Th 2.85-2.88, 2 Sc 2.98
Pd 0.2910 0.0715 0.2996  3 Pd 2.74-2.82, 2 Sc 2.74-2.75, 3 Th 2.92-3.06
Pd 0.2910 0.4285 0.2996  3 Pd 2.74-2.82, 2 Sc 2.74-2.75, 3 Th 2.92-3.06
Pd 0.7090 0.5715 0.7004  3 Pd 2.74-2.82, 2 Sc 2.74-2.75, 3 Th 2.92-3.06
Pd 0.7090 0.9285 0.7004  3 Pd 2.74-2.82, 2 Sc 2.74-2.75, 3 Th 2.92-3.06
Pd 0.7427 0.7500 0.3548  4 Pd 2.74-2.82, 2 Th 2.85-2.88, 2 Sc 2.98
Pd 0.7573 0.2500 0.8548  4 Pd 2.74-2.82, 2 Th 2.85-2.88, 2 Sc 2.98
Pd 0.7910 0.0715 0.2004  3 Pd 2.74-2.82, 2 Sc 2.74-2.75, 3 Th 2.92-3.06
Pd 0.7910 0.4285 0.2004  3 Pd 2.74-2.82, 2 Sc 2.74-2.75, 3 Th 2.92-3.06



[8]
DFT (GGA-PBE) results for a geometry-optimized ThSc2ZnPd4 structure.

Computed properties:
M_tot, μB/f.u.: 0.00
Final energy, eV per atom: -6.019
N(E_F), states/eV per cell: 6.63
Formation energy from the elements, meV per atom: -753

Lattice parameters (Å, degrees): 8.6385 8.6385 8.6385 31.12 31.12 31.12
Last column: nearest neighbours and their distance in Å.
Atoms (fractional coordinates):
Th 0.0000 0.0000 0.0000  8 Pd 3.07
Sc 0.2361 0.2361 0.2361  7 Pd 2.75-2.82
Sc 0.7639 0.7639 0.7639  7 Pd 2.75-2.82
Zn 0.5000 0.5000 0.5000  8 Pd 2.60-2.87
Pd 0.1246 0.1246 0.1246  4 Sc 2.75-2.76, 3 Zn 2.87, 1 Th 3.07
Pd 0.3944 0.3944 0.3944  1 Zn 2.60, 3 Sc 2.82
Pd 0.6056 0.6056 0.6056  1 Zn 2.60, 3 Sc 2.82
Pd 0.8754 0.8754 0.8754  4 Sc 2.75-2.76, 3 Zn 2.87, 1 Th 3.07



[9]
DFT (GGA-PBE) results for a geometry-optimized Sc3TiPd12 structure.

Computed properties:
M_tot, μB/f.u.: 0.00
Final energy, eV per atom: -6.373
N(E_F), states/eV per cell: 12.10
Formation energy from the elements, meV per atom: -797

Lattice parameters (Å, degrees): 3.9913 3.9913 15.9191 90.00 90.00 90.00
Last column: nearest neighbours and their distance in Å.
Atoms (fractional coordinates):
Sc 0.0000 0.0000 0.0000  12 Pd 2.82-2.84
Sc 0.0000 0.0000 0.2518  12 Pd 2.82-2.86
Sc 0.0000 0.0000 0.7482  12 Pd 2.82-2.86
Ti 0.0000 0.0000 0.5000  12 Pd 2.75-2.82
Pd 0.0000 0.5000 0.1267  4 Sc 2.82-2.84, 8 Pd 2.82-2.84
Pd 0.0000 0.5000 0.3808  8 Pd 2.75-2.84, 2 Ti 2.75, 2 Sc 2.86
Pd 0.0000 0.5000 0.6192  8 Pd 2.75-2.84, 2 Ti 2.75, 2 Sc 2.86
Pd 0.0000 0.5000 0.8733  4 Sc 2.82-2.84, 8 Pd 2.82-2.84
Pd 0.5000 0.0000 0.1267  4 Sc 2.82-2.84, 8 Pd 2.82-2.84
Pd 0.5000 0.0000 0.3808  8 Pd 2.75-2.84, 2 Ti 2.75, 2 Sc 2.86
Pd 0.5000 0.0000 0.6192  8 Pd 2.75-2.84, 2 Ti 2.75, 2 Sc 2.86
Pd 0.5000 0.0000 0.8733  4 Sc 2.82-2.84, 8 Pd 2.82-2.84
Pd 0.5000 0.5000 0.0000  4 Sc 2.82, 8 Pd 2.84
Pd 0.5000 0.5000 0.2535  4 Sc 2.82, 8 Pd 2.84
Pd 0.5000 0.5000 0.5000  8 Pd 2.75, 4 Ti 2.82
Pd 0.5000 0.5000 0.7465  4 Sc 2.82, 8 Pd 2.84



[10]
DFT (GGA-PBE) results for a geometry-optimized Sc2TiPd structure.

Computed properties:
M_tot, μB/f.u.: 0.00
Final energy, eV per atom: -6.665
N(E_F), states/eV per cell: 5.06
Formation energy from the elements, meV per atom: -228

Lattice parameters (Å, degrees): 9.2716 9.2716 9.2716 19.56 19.56 19.56
Last column: nearest neighbours and their distance in Å.
Atoms (fractional coordinates):
Sc 0.0000 0.0000 0.0000  3 Pd 2.82, 3 Ti 2.99, 6 Sc 3.15
Sc 0.1748 0.1748 0.1748  3 Pd 2.83, 3 Ti 3.01, 6 Sc 3.15
Ti 0.7535 0.7535 0.7535  6 Sc 2.99-3.01, 6 Ti 3.15
Pd 0.5877 0.5877 0.5877  6 Sc 2.82-2.83, 6 Pd 3.15



[11]
DFT (GGA-PBE) results for a geometry-optimized Sc2TiPd structure.

Computed properties:
M_tot, μB/f.u.: 0.89
Final energy, eV per atom: -6.481
N(E_F), states/eV per cell: 8.20
Formation energy from the elements, meV per atom: -43

Lattice parameters (Å, degrees): 6.0734 6.0734 6.0734 103.33 103.33 122.60
Last column: nearest neighbours and their distance in Å.
Atoms (fractional coordinates):
Sc 0.0866 0.6250 0.9616  2 Pd 2.57
Sc 0.3750 0.3366 0.4616  2 Pd 2.57
Sc 0.6634 0.1250 0.0384  2 Pd 2.57
Sc 0.8750 0.9134 0.5384  2 Pd 2.57
Ti 0.2500 0.7500 0.5000  2 Pd 2.92, 4 Sc 2.97
Ti 0.5000 0.5000 0.0000  2 Pd 2.92, 4 Sc 2.97
Pd 0.0000 0.0000 0.0000  4 Sc 2.57
Pd 0.7500 0.2500 0.5000  4 Sc 2.57